Entry 1:
Below is crystalline Cu2SiP at its relaxed geometry, with properties calculated at the PBE-GGA level.

uncorrected energy = -36.718 eV for the cell shown
volume = 13.47 Å³ per atom
calculated density = 5.74 Mg/m³

Lattice parameters (Å, degrees): 7.6017 2.7670 5.2714 90.00 103.70 90.00
Space group C2/m (No. 12)
Inequivalent atoms, fractional coordinates:
Cu  0.2501  0.0000  0.2416 (multiplicity 4)
Si  0.0000  0.5000  0.0000 (multiplicity 2)
P  0.0000  0.0000  0.5000 (multiplicity 2)

***

Entry 2:
Below is crystalline BaHfAg3 at its relaxed geometry, with properties calculated at the PBE-GGA level.

uncorrected energy = -12.800 eV for the cell shown
volume = 34.88 Å³ per atom
ΔH_f (0 K) = 1.53 eV/atom
calculated density = 6.09 Mg/m³

Lattice parameters (Å, degrees): 5.5868 5.5868 5.5868 90.00 90.00 90.00
Space group Pm-3m (No. 221)
Inequivalent atoms, fractional coordinates:
Ba  0.0000  0.0000  0.0000 (multiplicity 1)
Hf  0.5000  0.5000  0.5000 (multiplicity 1)
Ag  0.0000  0.0000  0.5000 (multiplicity 3)

***

Entry 3:
Below is crystalline LaTaMo at its relaxed geometry, with properties calculated at the PBE-GGA level.

uncorrected energy = -89.120 eV for the cell shown
volume = 22.86 Å³ per atom
ΔH_f (0 K) = 1.78 eV/atom
calculated density = 10.07 Mg/m³

Lattice parameters (Å, degrees): 6.4972 6.4972 6.4972 90.00 90.00 90.00
Space group F-43m (No. 216)
Inequivalent atoms, fractional coordinates:
La  0.0000  0.0000  0.0000 (multiplicity 4)
Ta  0.2500  0.2500  0.7500 (multiplicity 4)
Mo  0.2500  0.2500  0.2500 (multiplicity 4)